Ga2IrPt after structural relaxation. Source: the Alexandria database, functional PBE.

Summary:
The value obtained for the total energy is -5.077 eV per atom.

abc: 6.937 6.937 6.937
angles: 132.52 132.52 69.40
Fractional coordinates of all 8 atoms:
Ga 0.118 0.625 0.993
Ga 0.375 0.368 0.493
Ga 0.632 0.125 0.007
Ga 0.875 0.882 0.507
Ir 0.000 0.000 0.000
Ir 0.750 0.250 0.500
Pt 0.250 0.750 0.500
Pt 0.500 0.500 0.000